[1]
Y5Ge4: single point on PBEsol structure, SCAN.

```
data_Y5Ge4
_chemical_formula_sum 'Y20 Ge16'
_symmetry_space_group_name_H-M 'P n m a'
_symmetry_Int_Tables_number 62
_cell_length_a 7.547
_cell_length_b 14.528
_cell_length_c 7.640
_cell_angle_alpha 90.00
_cell_angle_beta 90.00
_cell_angle_gamma 90.00
loop_
_symmetry_equiv_pos_as_xyz
'x,y,z'
'-x,-y,-z'
'-x+1/2,-y,z+1/2'
'x+1/2,y,-z+1/2'
'x+1/2,-y+1/2,-z+1/2'
'-x+1/2,y+1/2,z+1/2'
'-x,y+1/2,-z'
'x,-y+1/2,z'
loop_
_atom_site_label
_atom_site_type_symbol
_atom_site_fract_x
_atom_site_fract_y
_atom_site_fract_z
Y1 Y 0.022 0.100 0.178
Y2 Y 0.126 0.618 0.338
Y3 Y 0.208 0.250 0.501
Ge1 Ge 0.077 0.250 0.884
Ge2 Ge 0.173 0.750 0.637
Ge3 Ge 0.215 0.043 0.534
```

## Properties
ΔE_f, meV/atom: -985
Total DFT energy (no corrections), Ry/atom: -1.83283



[2]
Al2CdFe: single point on PBEsol structure, SCAN.

```
data_Al2CdFe
_chemical_formula_sum 'Al6 Cd3 Fe3'
_symmetry_space_group_name_H-M 'R -3 m'
_symmetry_Int_Tables_number 166
_symmetry_space_group_name_Hall '-R 3 2"'
_cell_length_a 2.8625
_cell_length_b 2.8625
_cell_length_c 26.1015
_cell_angle_alpha 90.00
_cell_angle_beta 90.00
_cell_angle_gamma 120.00
loop_
_atom_site_label
_atom_site_type_symbol
_atom_site_fract_x
_atom_site_fract_y
_atom_site_fract_z
Al1 Al 0.0000 0.0000 0.2357
Cd1 Cd 0.0000 0.0000 0.0000
Fe1 Fe 0.0000 0.0000 0.5000
```

## Properties
ΔE_f, meV/atom: 3
Total DFT energy (no corrections), Ry/atom: -1.17665



[3]
Sr2YAg2: single point on PBEsol structure, SCAN.

```
data_Sr2YAg2
_chemical_formula_sum 'Sr4 Y2 Ag4'
_symmetry_space_group_name_H-M 'P 4/m b m'
_symmetry_Int_Tables_number 127
_symmetry_space_group_name_Hall '-P 4 2ab'
_cell_length_a 7.987
_cell_length_b 7.987
_cell_length_c 4.692
_cell_angle_alpha 90.00
_cell_angle_beta 90.00
_cell_angle_gamma 90.00
loop_
_atom_site_label
_atom_site_type_symbol
_atom_site_fract_x
_atom_site_fract_y
_atom_site_fract_z
Sr1 Sr 0.171 0.329 0.000
Y1 Y 0.000 0.000 0.500
Ag1 Ag 0.127 0.627 0.500
```

## Properties
ΔE_f, meV/atom: -206
Total DFT energy (no corrections), Ry/atom: -2.00150



[4]
BeTcHg2: single point on PBEsol structure, SCAN.

```
data_BeTcHg2
_chemical_formula_sum 'Be1 Tc1 Hg2'
_symmetry_space_group_name_H-M 'P 4 m m'
_symmetry_Int_Tables_number 99
_cell_length_a 3.024
_cell_length_b 3.024
_cell_length_c 6.982
_cell_angle_alpha 90.00
_cell_angle_beta 90.00
_cell_angle_gamma 90.00
loop_
_symmetry_equiv_pos_as_xyz
'x,y,z'
'-y,x,z'
'-x,-y,z'
'y,-x,z'
'-x,y,z'
'y,x,z'
'x,-y,z'
'-y,-x,z'
loop_
_atom_site_label
_atom_site_type_symbol
_atom_site_fract_x
_atom_site_fract_y
_atom_site_fract_z
Be1 Be 0.000 0.000 0.000
Tc1 Tc 0.500 0.500 0.864
Hg1 Hg 0.000 0.000 0.586
Hg2 Hg 0.500 0.500 0.264
```

## Properties
ΔE_f, meV/atom: 369
Total DFT energy (no corrections), Ry/atom: -3.20216



[5]
CdPb2Au: single point on PBEsol structure, SCAN.

```
data_CdPb2Au
_chemical_formula_sum 'Cd2 Pb4 Au2'
_symmetry_space_group_name_H-M 'A m m 2'
_symmetry_Int_Tables_number 38
_cell_length_a 4.439
_cell_length_b 3.864
_cell_length_c 11.426
_cell_angle_alpha 90.00
_cell_angle_beta 90.00
_cell_angle_gamma 90.00
loop_
_symmetry_equiv_pos_as_xyz
'x,y,z'
'-x,-y,z'
'-x,y,z'
'x,-y,z'
'x,y+1/2,z+1/2'
'-x,-y+1/2,z+1/2'
'-x,y+1/2,z+1/2'
'x,-y+1/2,z+1/2'
loop_
_atom_site_label
_atom_site_type_symbol
_atom_site_fract_x
_atom_site_fract_y
_atom_site_fract_z
Cd1 Cd 0.000 0.000 0.000
Pb1 Pb 0.000 0.000 0.727
Pb2 Pb 0.500 0.000 0.416
Au1 Au 0.500 0.000 0.154
```

## Properties
ΔE_f, meV/atom: -37
Total DFT energy (no corrections), Ry/atom: -4.61720



[6]
Y2MoRhN: single point on PBEsol structure, SCAN.

```
data_Y2MoRhN
_chemical_formula_sum 'Y2 Mo1 Rh1 N1'
_symmetry_space_group_name_H-M 'P 4/m m m'
_symmetry_Int_Tables_number 123
_symmetry_space_group_name_Hall '-P 4 2'
_cell_length_a 5.245
_cell_length_b 5.245
_cell_length_c 4.416
_cell_angle_alpha 90.00
_cell_angle_beta 90.00
_cell_angle_gamma 90.00
loop_
_atom_site_label
_atom_site_type_symbol
_atom_site_fract_x
_atom_site_fract_y
_atom_site_fract_z
Y1 Y 0.000 0.500 0.000
Mo1 Mo 0.000 0.000 0.000
Rh1 Rh 0.000 0.000 0.500
N1 N 0.500 0.500 0.500
```

## Properties
Uncorrected formation energy, eV/atom: 1.215
Total DFT energy (no corrections), Ry/atom: -1.87510



[7]
Hg2P: single point on PBEsol structure, SCAN.

```
data_Hg2P
_chemical_formula_sum 'Hg2 P1'
_symmetry_space_group_name_H-M 'P 6/m m m'
_symmetry_Int_Tables_number 191
_symmetry_space_group_name_Hall '-P 6 2'
_cell_length_a 5.0367
_cell_length_b 5.0367
_cell_length_c 2.8332
_cell_angle_alpha 90.00
_cell_angle_beta 90.00
_cell_angle_gamma 120.00
loop_
_atom_site_label
_atom_site_type_symbol
_atom_site_fract_x
_atom_site_fract_y
_atom_site_fract_z
Hg1 Hg 0.3333 0.6667 0.0000
P1 P 0.0000 0.0000 0.0000
```

## Properties
ΔE_f, meV/atom: 482
Total DFT energy (no corrections), Ry/atom: -3.55942



[8]
SrGe4O9: single point on PBEsol structure, SCAN.

```
data_SrGe4O9
_chemical_formula_sum 'Sr3 Ge12 O27'
_symmetry_space_group_name_H-M 'P 3 2 1'
_symmetry_Int_Tables_number 150
_cell_length_a 11.3303
_cell_length_b 11.3303
_cell_length_c 4.7897
_cell_angle_alpha 90.00
_cell_angle_beta 90.00
_cell_angle_gamma 120.00
loop_
_symmetry_equiv_pos_as_xyz
'x,y,z'
'-y,x-y,z'
'-x+y,-x,z'
'y,x,-z'
'x-y,-y,-z'
'-x,-x+y,-z'
loop_
_atom_site_label
_atom_site_type_symbol
_atom_site_fract_x
_atom_site_fract_y
_atom_site_fract_z
Sr1 Sr 0.0000 0.6732 0.0000
Ge1 Ge 0.0000 0.0000 0.0000
Ge2 Ge 0.0000 0.1788 0.5000
Ge3 Ge 0.1505 0.4918 0.3991
Ge4 Ge 0.3333 0.6667 0.8923
O1 O 0.0000 0.4910 0.5000
O2 O 0.0586 0.9035 0.7620
O3 O 0.1098 0.3247 0.2905
O4 O 0.1794 0.6049 0.1224
O5 O 0.2476 0.7383 0.6714
```

## Properties
Uncorrected formation energy, eV/atom: -2.063
Total DFT energy (no corrections), Ry/atom: -0.96381



[9]
ZrZnOs3: single point on PBEsol structure, SCAN.

```
data_ZrZnOs3
_chemical_formula_sum 'Zr1 Zn1 Os3'
_symmetry_space_group_name_H-M 'P m -3 m'
_symmetry_Int_Tables_number 221
_symmetry_space_group_name_Hall '-P 4 2 3'
_cell_length_a 4.424
_cell_length_b 4.424
_cell_length_c 4.424
_cell_angle_alpha 90.00
_cell_angle_beta 90.00
_cell_angle_gamma 90.00
loop_
_atom_site_label
_atom_site_type_symbol
_atom_site_fract_x
_atom_site_fract_y
_atom_site_fract_z
Zr1 Zr 0.000 0.000 0.000
Zn1 Zn 0.500 0.500 0.500
Os1 Os 0.000 0.500 0.500
```

## Properties
ΔE_f, meV/atom: 1239
Total DFT energy (no corrections), Ry/atom: -3.72873



[10]
La2ZnCu: single point on PBEsol structure, SCAN.

```
data_La2ZnCu
_chemical_formula_sum 'La2 Zn1 Cu1'
_symmetry_space_group_name_H-M 'P 4/m m m'
_symmetry_Int_Tables_number 123
_symmetry_space_group_name_Hall '-P 4 2'
_cell_length_a 3.643
_cell_length_b 3.643
_cell_length_c 7.245
_cell_angle_alpha 90.00
_cell_angle_beta 90.00
_cell_angle_gamma 90.00
loop_
_atom_site_label
_atom_site_type_symbol
_atom_site_fract_x
_atom_site_fract_y
_atom_site_fract_z
La1 La 0.000 0.000 0.241
Zn1 Zn 0.500 0.500 0.500
Cu1 Cu 0.500 0.500 0.000
```

## Properties
ΔE_f, meV/atom: -254
Total DFT energy (no corrections), Ry/atom: -2.13040



[11]
CaCoSi: single point on PBEsol structure, SCAN.

```
data_CaCoSi
_chemical_formula_sum 'Ca2 Co2 Si2'
_symmetry_space_group_name_H-M 'P 4/n m m'
_symmetry_Int_Tables_number 129
_cell_length_a 3.863
_cell_length_b 3.863
_cell_length_c 7.282
_cell_angle_alpha 90.00
_cell_angle_beta 90.00
_cell_angle_gamma 90.00
loop_
_symmetry_equiv_pos_as_xyz
'x,y,z'
'-x,-y,-z'
'-y+1/2,x,z'
'y+1/2,-x,-z'
'-x+1/2,-y+1/2,z'
'x+1/2,y+1/2,-z'
'y,-x+1/2,z'
'-y,x+1/2,-z'
'x+1/2,-y,-z'
'-x+1/2,y,z'
'-y,-x,-z'
'y,x,z'
'-x,y+1/2,-z'
'x,-y+1/2,z'
'y+1/2,x+1/2,-z'
'-y+1/2,-x+1/2,z'
loop_
_atom_site_label
_atom_site_type_symbol
_atom_site_fract_x
_atom_site_fract_y
_atom_site_fract_z
Ca1 Ca 0.250 0.250 0.179
Co1 Co 0.250 0.750 0.500
Si1 Si 0.250 0.250 0.662
```

## Properties
Uncorrected formation energy, eV/atom: -0.470
Total DFT energy (no corrections), Ry/atom: -0.94063



[12]
InRe2Pb: single point on PBEsol structure, SCAN.

```
data_InRe2Pb
_chemical_formula_sum 'In1 Re2 Pb1'
_symmetry_space_group_name_H-M 'P m m m'
_symmetry_Int_Tables_number 47
_cell_length_a 3.119
_cell_length_b 4.580
_cell_length_c 5.078
_cell_angle_alpha 90.00
_cell_angle_beta 90.00
_cell_angle_gamma 90.00
loop_
_symmetry_equiv_pos_as_xyz
'x,y,z'
'-x,-y,-z'
'-x,-y,z'
'x,y,-z'
'x,-y,-z'
'-x,y,z'
'-x,y,-z'
'x,-y,z'
loop_
_atom_site_label
_atom_site_type_symbol
_atom_site_fract_x
_atom_site_fract_y
_atom_site_fract_z
In1 In 0.000 0.000 0.000
Re1 Re 0.000 0.500 0.500
Re2 Re 0.500 0.500 0.000
Pb1 Pb 0.500 0.000 0.500
```

## Properties
ΔE_f, meV/atom: 1174
Total DFT energy (no corrections), Ry/atom: -4.53243